No. 1
Compound: CoRe2Cl
Source: Alexandria via LeMat-Bulk
Functional: SCAN
Structure: PBEsol geometry

Lattice parameters (Å, degrees): 2.7554 2.7554 8.4783 90.00 90.00 117.69
Closest atoms and distances in Å follow each position.
Fractional positions:
Re 0.0000 0.0000 0.0115  2 Co 2.52, 6 Re 2.58-2.76
Re 0.5000 0.5000 0.7577  8 Re 2.58-2.85, 2 Cl 2.80
Co 0.5000 0.5000 0.2571  2 Cl 2.33, 2 Re 2.52
Cl 0.0000 0.0000 0.4738  2 Co 2.33

Results
**ΔE_f (raw)**: 0.552 eV per atom
**DOS at the Fermi energy**: 3.02 states/eV/f.u.
**Relative energy among the computed polymorphs**: 0.000 eV/atom
**Space-group type**: Cmm2 (35)
**Final energy**: -41.317 eV per atom
**Spin magnetization**: 2.21 μB/f.u.

No. 2
Compound: Co5Pb
Source: Alexandria via LeMat-Bulk
Functional: SCAN
Structure: PBEsol geometry

Lattice parameters (Å, degrees): 2.9407 2.9407 8.8751 90.00 90.00 90.00
Closest atoms and distances in Å follow each position.
Fractional positions:
Co 0.0000 0.0000 0.7791  5 Co 2.43-2.48
Co 0.0000 0.0000 0.2209  5 Co 2.43-2.48
Co 0.5000 0.5000 0.6381  9 Co 2.41-2.45
Co 0.5000 0.5000 0.3619  9 Co 2.41-2.45
Co 0.0000 0.0000 0.5000  10 Co 2.41-2.48
Pb 0.5000 0.5000 0.0000  8 Co 2.86, 4 Pb 2.94

Results
**DOS at the Fermi energy**: 4.71 states/eV/f.u.
**Space-group type**: P4/mmm (123)
**DFT formation energy**: 2.05 eV per formula unit
**Final energy**: -26.708 eV per atom
**Spin magnetization**: 9.15 μB/f.u.

No. 3
Compound: MgZr2Fe
Source: Alexandria via LeMat-Bulk
Functional: SCAN
Structure: PBEsol geometry

Lattice parameters (Å, degrees): 3.3815 4.9478 5.3539 117.52 108.41 90.00
Closest atoms and distances in Å follow each position.
Fractional positions:
Fe 0.5000 0.0000 0.0000  4 Zr 2.45
Mg 0.0000 0.5000 0.0000  4 Fe 3.00, 8 Zr 3.05-3.15
Zr 0.7994 0.7994 0.5988  2 Fe 2.45
Zr 0.2006 0.2006 0.4012  2 Fe 2.45

Results
**DOS at the Fermi energy**: 1.78 states/eV/f.u.
**Space-group type**: Immm (71)
**DFT formation energy**: 0.40 eV per formula unit
**Final energy**: -21.025 eV per atom
**Spin magnetization**: 0.00 μB/f.u.

No. 4
Compound: KRbH2
Source: Alexandria via LeMat-Bulk
Functional: SCAN
Structure: PBEsol geometry

Lattice parameters (Å, degrees): 4.8263 4.8263 4.8263 60.00 60.00 60.00
Closest atoms and distances in Å follow each position.
Fractional positions:
H 0.2500 0.2500 0.2500  4 K 2.96, 4 Rb 2.96
H 0.7500 0.7500 0.7500  4 Rb 2.96, 4 K 2.96
K 0.0000 0.0000 0.0000  8 H 2.96
Rb 0.5000 0.5000 0.5000  8 H 2.96

Results
**DOS at the Fermi energy**: 0.00 states/eV/f.u.
**Relative energy among the computed polymorphs**: 0.000 eV/atom
**Space-group type**: Fm-3m (225)
**Final energy**: -9.218 eV per atom
**Spin magnetization**: 0.00 μB/f.u.

No. 5
Compound: OsClO2
Source: Alexandria via LeMat-Bulk
Functional: SCAN
Structure: PBEsol geometry

Lattice parameters (Å, degrees): 5.9154 5.9154 5.9154 60.00 60.00 60.00
Closest atoms and distances in Å follow each position.
Fractional positions:
Os 0.2500 0.2500 0.2500  4 O 1.81
Os 0.0000 0.0000 0.0000  4 O 1.81
O 0.1250 0.1250 0.1250  2 Os 1.81
O 0.1250 0.1250 0.6250  2 Os 1.81
O 0.1250 0.6250 0.1250  2 Os 1.81
O 0.6250 0.1250 0.1250  2 Os 1.81
Cl 0.7500 0.7500 0.7500  12 O 3.47, 4 Os 3.62, 4 Cl 3.62
Cl 0.5000 0.5000 0.5000  12 O 3.47, 4 Cl 3.62, 4 Os 3.62

Results
**ΔE_f (raw)**: -0.243 eV per atom
**DOS at the Fermi energy**: 4.21 states/eV/f.u.
**Space-group type**: Fd-3m (227)
**Final energy**: -23.323 eV per atom
**Spin magnetization**: 0.00 μB/f.u.

No. 6
Compound: Ba2ZnWO6
Source: Alexandria via LeMat-Bulk
Functional: SCAN
Structure: PBEsol geometry

Lattice parameters (Å, degrees): 5.7349 5.7349 5.7349 60.00 60.00 60.00
Closest atoms and distances in Å follow each position.
Fractional positions:
O 0.2383 0.7617 0.2383  1 W 1.93, 1 Zn 2.12
O 0.7617 0.2383 0.2383  1 W 1.93, 1 Zn 2.12
O 0.2383 0.7617 0.7617  1 W 1.93, 1 Zn 2.12
O 0.7617 0.2383 0.7617  1 W 1.93, 1 Zn 2.12
O 0.7617 0.7617 0.2383  1 W 1.93, 1 Zn 2.12
O 0.2383 0.2383 0.7617  1 W 1.93, 1 Zn 2.12
Zn 0.5000 0.5000 0.5000  6 O 2.12
Ba 0.2500 0.2500 0.2500  12 O 2.87
Ba 0.7500 0.7500 0.7500  12 O 2.87
W 0.0000 0.0000 0.0000  6 O 1.93

Results
**ΔE_f (raw)**: -2.654 eV per atom
**DOS at the Fermi energy**: 0.00 states/eV/f.u.
**Space-group type**: Fm-3m (225)
**Final energy**: -22.623 eV per atom
**Spin magnetization**: 0.00 μB/f.u.

No. 7
Compound: BeTl2Os
Source: Alexandria via LeMat-Bulk
Functional: SCAN
Structure: PBEsol geometry

Lattice parameters (Å, degrees): 3.0444 4.5528 6.2107 111.50 104.19 90.00
Closest atoms and distances in Å follow each position.
Fractional positions:
Be 0.5725 0.5725 0.1449  2 Os 2.24
Tl 0.9647 0.9647 0.9295  4 Be 2.99, 2 Tl 3.04, 2 Os 3.13
Tl 0.7435 0.2435 0.4871  4 Os 2.75, 2 Be 2.97, 2 Tl 3.04
Os 0.2193 0.7193 0.4385  2 Be 2.24

Results
**DOS at the Fermi energy**: 1.80 states/eV/f.u.
**Relative energy among the computed polymorphs**: 0.000 eV/atom
**Space-group type**: Imm2 (44)
**DFT formation energy**: 2.65 eV per formula unit
**Final energy**: -54.576 eV per atom
**Spin magnetization**: 0.00 μB/f.u.

No. 8
Compound: In2Ge2Br
Source: Alexandria via LeMat-Bulk
Functional: SCAN
Structure: PBEsol geometry

Lattice parameters (Å, degrees): 4.0201 4.0201 7.9195 104.70 104.70 90.00
Closest atoms and distances in Å follow each position.
Fractional positions:
Ge 0.2500 0.7500 0.5000  4 Ge 2.84, 4 In 2.98
Ge 0.7500 0.2500 0.5000  4 Ge 2.84, 4 In 2.98
Br 0.0000 0.0000 0.0000  8 In 3.21
In 0.3991 0.3991 0.7983  1 In 2.98, 4 Ge 2.98, 4 Br 3.21
In 0.6009 0.6009 0.2017  1 In 2.98, 4 Ge 2.98, 4 Br 3.21

Results
**ΔE_f (raw)**: 0.014 eV per atom
**DOS at the Fermi energy**: 2.21 states/eV/f.u.
**Space-group type**: I4/mmm (139)
**Final energy**: -24.868 eV per atom
**Spin magnetization**: 0.00 μB/f.u.

No. 9
Compound: YZn2Rh2
Source: Alexandria via LeMat-Bulk
Functional: SCAN
Structure: PBEsol geometry

Lattice parameters (Å, degrees): 3.0455 7.1878 7.1878 90.00 90.00 90.00
Closest atoms and distances in Å follow each position.
Fractional positions:
Y 0.0000 0.0000 0.0000  4 Rh 2.74, 2 Y 3.05
Y 0.0000 0.5000 0.5000  4 Rh 2.74, 2 Y 3.05
Zn 0.5000 0.1455 0.6455  6 Rh 2.59-2.60
Zn 0.5000 0.6455 0.8545  6 Rh 2.59-2.60
Zn 0.5000 0.8545 0.3545  6 Rh 2.59-2.60
Zn 0.5000 0.3545 0.1455  6 Rh 2.59-2.60
Rh 0.0000 0.3519 0.8519  6 Zn 2.59-2.60, 2 Y 2.74
Rh 0.0000 0.8519 0.6481  6 Zn 2.59-2.60, 2 Y 2.74
Rh 0.0000 0.6481 0.1481  6 Zn 2.59-2.60, 2 Y 2.74
Rh 0.0000 0.1481 0.3519  6 Zn 2.59-2.60, 2 Y 2.74

Results
**DOS at the Fermi energy**: 1.20 states/eV/f.u.
**Relative energy among the computed polymorphs**: 0.009 eV/atom
**Space-group type**: P4/mbm (127)
**DFT formation energy**: -2.83 eV per formula unit
**Final energy**: -25.050 eV per atom
**Spin magnetization**: 0.00 μB/f.u.

No. 10
Compound: Sn3PIr
Source: Alexandria via LeMat-Bulk
Functional: SCAN
Structure: PBEsol geometry

Lattice parameters (Å, degrees): 5.0271 5.0271 5.0271 90.00 90.00 90.00
Closest atoms and distances in Å follow each position.
Fractional positions:
P 0.5000 0.5000 0.5000  12 Sn 3.55
Ir 0.0000 0.0000 0.0000  6 Sn 2.51
Sn 0.0000 0.5000 0.0000  2 Ir 2.51
Sn 0.0000 0.0000 0.5000  2 Ir 2.51
Sn 0.5000 0.0000 0.0000  2 Ir 2.51

Results
**DOS at the Fermi energy**: 0.53 states/eV/f.u.
**Space-group type**: Pm-3m (221)
**DFT formation energy**: 1.36 eV per formula unit
**Final energy**: -37.580 eV per atom
**Spin magnetization**: 0.00 μB/f.u.

No. 11
Compound: TaCdFe2
Source: Alexandria via LeMat-Bulk
Functional: SCAN
Structure: PBEsol geometry

Lattice parameters (Å, degrees): 3.1576 4.1704 4.1704 90.00 90.01 90.01
Closest atoms and distances in Å follow each position.
Fractional positions:
Cd 0.5000 0.0000 0.0000  8 Fe 2.62
Fe 0.0000 0.5000 0.0000  4 Cd 2.62, 4 Ta 2.62
Fe 0.0000 0.0000 0.5000  4 Ta 2.62, 4 Cd 2.62
Ta 0.5000 0.5000 0.5000  8 Fe 2.62

Results
**DOS at the Fermi energy**: 2.47 states/eV/f.u.
**Space-group type**: P4/mmm (123)
**DFT formation energy**: 1.30 eV per formula unit
**Final energy**: -32.988 eV per atom
**Spin magnetization**: 1.62 μB/f.u.

No. 12
Compound: Y2BiBrF
Source: Alexandria via LeMat-Bulk
Functional: SCAN
Structure: PBEsol geometry

Lattice parameters (Å, degrees): 4.6439 5.3018 5.3018 90.00 90.00 90.00
Closest atoms and distances in Å follow each position.
Fractional positions:
Y 0.0000 0.0000 0.5000  2 Br 2.65
Y 0.0000 0.5000 0.0000  2 Br 2.65
Bi 0.5000 0.5000 0.5000  8 Y 3.52, 4 F 3.75
Br 0.0000 0.0000 0.0000  2 F 2.32
F 0.5000 0.0000 0.0000  2 Br 2.32

Results
**ΔE_f (raw)**: -1.021 eV per atom
**DOS at the Fermi energy**: 2.12 states/eV/f.u.
**Space-group type**: P4/mmm (123)
**Final energy**: -32.474 eV per atom
**Spin magnetization**: 0.00 μB/f.u.